VASP calculation (PBE) on Rb2InF4 after structural relaxation.

a = 7.8865 Å, b = 7.8865 Å, c = 7.8865 Å
α = 146.25°, β = 146.25°, γ = 48.47°
Last column: nearest neighbours and their distance in Å.
Fractional coordinates of all 7 atoms:
Rb  0.1478  0.1478  0.0000  1 F 2.75
Rb  0.8522  0.8522  0.0000  1 F 2.75
In  0.5000  0.5000  0.0000  6 F 2.29-2.31
F  0.0000  0.5000  0.5000  2 In 2.29
F  0.3392  0.3392  0.0000  1 In 2.31
F  0.5000  0.0000  0.5000  2 In 2.29
F  0.6608  0.6608  0.0000  1 In 2.31

Calculated values
The space group is I4/mmm (139). The total energy is -4.21 eV/atom. As for the formation energy without anion corrections: -2469 meV/atom. The polymorph energy (0 for the lowest one) comes out at 0.0000 eV per atom. The value obtained for the density of states at the Fermi level is 1.64 states/eV per cell.



VASP calculation (PBE) on Rb3InF4 after structural relaxation.

a = 7.1094 Å, b = 8.1917 Å, c = 14.3552 Å
α = 90.00°, β = 90.00°, γ = 90.00°
Last column: nearest neighbours and their distance in Å.
Fractional coordinates of all 32 atoms:
Rb  0.1373  0.2500  0.0395  3 F 2.75-2.78
Rb  0.2088  0.0008  0.7787  5 F 2.75-2.97
Rb  0.2088  0.4992  0.7787  5 F 2.75-2.97
Rb  0.2912  0.5008  0.2787  5 F 2.75-2.97
Rb  0.2912  0.9992  0.2787  5 F 2.75-2.97
Rb  0.3627  0.7500  0.5395  3 F 2.75-2.78
Rb  0.6373  0.2500  0.4605  3 F 2.75-2.78
Rb  0.7088  0.0008  0.7213  5 F 2.75-2.97
Rb  0.7088  0.4992  0.7213  5 F 2.75-2.97
Rb  0.7912  0.5008  0.2213  5 F 2.75-2.97
Rb  0.7912  0.9992  0.2213  5 F 2.75-2.97
Rb  0.8627  0.7500  0.9605  3 F 2.75-2.78
In  0.1565  0.2500  0.5402  3 F 2.23-2.24
In  0.3435  0.7500  0.0402  3 F 2.23-2.24
In  0.6565  0.2500  0.9598  3 F 2.23-2.24
In  0.8435  0.7500  0.4598  3 F 2.23-2.24
F  0.0080  0.7500  0.3269  1 In 2.24
F  0.0470  0.2500  0.2275  5 Rb 2.75-2.79
F  0.1358  0.5712  0.0956  1 In 2.23
F  0.1358  0.9288  0.0956  1 In 2.23
F  0.3641  0.0712  0.5956  1 In 2.23
F  0.3641  0.4288  0.5956  1 In 2.23
F  0.4530  0.7500  0.7275  5 Rb 2.75-2.79
F  0.4920  0.2500  0.8269  1 In 2.24
F  0.5080  0.7500  0.1731  1 In 2.24
F  0.5470  0.2500  0.2725  5 Rb 2.75-2.79
F  0.6358  0.5712  0.4044  1 In 2.23
F  0.6358  0.9288  0.4044  1 In 2.23
F  0.8642  0.0712  0.9044  1 In 2.23
F  0.8642  0.4288  0.9044  1 In 2.23
F  0.9530  0.7500  0.7725  5 Rb 2.75-2.79
F  0.9920  0.2500  0.6731  1 In 2.24

Calculated values
The space group is Pnma (62). The total energy is -4.05 eV/atom. As for the formation energy without anion corrections: -2410 meV/atom. The polymorph energy (0 for the lowest one) comes out at 0.0164 eV per atom. The value obtained for the density of states at the Fermi level is 0.00 states/eV per cell.